The following is a GGA-PBE calculation of a relaxed structure of ZnCrSn, from Alexandria via LeMat-Bulk.

The space group is Cm (No. 8) and the conventional cell measures 9.956, 3.184 and 7.151 Å, with angles of 90.00, 108.74 and 90.00 degrees. The inequivalent atoms are Zn at (0.000, 0.000, 0.000), Zn at (0.106, 0.000, 0.379), Cr at (0.263, 0.000, 0.878), Cr at (0.289, 0.500, 0.633), Sn at (0.021, 0.500, 0.670) and Sn at (0.293, 0.500, 0.221).

Its formation energy from the elements is 0.248 eV per atom. Its calculated density is 7.31 Mg/m³.